Record 1
The following is a SCAN calculation of a crystal of BaZr4Se relaxed with PBEsol, from the Alexandria database.

```
BaZr4Se
1.0
-0.182 -5.089 3.134
-0.453 -5.244 -2.837
4.656 -3.749 -0.114
Ba Se Zr
1 1 4
direct
0.750 0.750 0.750
0.000 0.000 0.000
0.378 0.378 0.378
0.378 0.378 0.867
0.867 0.378 0.378
0.378 0.867 0.378
```

Results
- size of the total moment (μB per formula unit) = 0.0
- formation energy (no corrections) (eV per atom) = 0.554
- space-group type = F-43m (216)
- E (eV/atom) = -29.85

***

Record 2
The following is a SCAN calculation of a crystal of BaZrSe relaxed with PBEsol, from the Alexandria database.

```
BaZrSe
1.0
-3.231 -0.941 -3.132
4.429 -0.763 -0.965
-0.403 -4.620 1.804
Ba Se Zr
1 1 1
direct
0.000 0.000 0.000
0.667 0.333 0.500
0.333 0.667 0.500
```

Results
- size of the total moment (μB per formula unit) = 2.1
- distance to the lowest polymorph of the same formula (eV per atom) = 0.0000
- formation energy (no corrections) (eV per atom) = -0.611
- space-group type = P-6m2 (187)
- E (eV/atom) = -30.72

***

The lowest size of the total moment belongs to which entry? BaZr4Se